VASP calculation (PBE) on an optimized crystal structure of Bi2Os2W.

Results
DFT formation energy	1.57	eV/atom
total energy	-7.07	eV/atom
relative energy among the computed polymorphs	0.623	eV/atom
D(E_F)	5.40	states/eV/f.u.

a b c (Å): 4.1800 4.1800 6.9012
angles (deg): 72.37 72.37 90.00
Site moments in Bohr magnetons follow the coordinates.
Element x y z (fractional)
Os: 0.5947 0.5947 0.8105  -0.10
Os: 0.4053 0.4053 0.1895  -0.10
Bi: 0.7500 0.2500 0.5000  0.00
Bi: 0.2500 0.7500 0.5000  0.00
W: 0.0000 0.0000 0.0000  1.73